[1]
DFT (PBE-GGA) results for crystalline Er2ThSc5 at its relaxed geometry. Values from VASP.

Quantum ESPRESSO input file:
```
&SYSTEM
  ibrav = 0, nat = 8, ntyp = 3
/
ATOMIC_SPECIES
Er 167.26 Er.upf
Sc 44.96 Sc.upf
Th 232.04 Th.upf
ATOMIC_POSITIONS crystal
Er 0.500 0.722 0.222
Er 0.500 0.222 0.722
Sc 0.000 0.722 0.722
Sc 0.500 0.222 0.222
Sc 0.500 0.722 0.722
Sc 0.000 0.222 0.722
Sc 0.000 0.722 0.222
Th 0.000 0.222 0.222
CELL_PARAMETERS angstrom
-0.797 6.596 -0.275
0.359 -3.363 -5.725
-5.049 -3.684 2.270
```

Summary:
* formation enthalpy at 0 K: 0.0299 eV/atom
* space group: No. 139

---

[2]
DFT (PBE-GGA) results for crystalline Th2RuS at its relaxed geometry. Values from VASP.

Quantum ESPRESSO input file:
```
&SYSTEM
  ibrav = 0, nat = 4, ntyp = 3
/
ATOMIC_SPECIES
Th 232.04 Th.upf
Ru 101.07 Ru.upf
S 32.06 S.upf
ATOMIC_POSITIONS crystal
Th 0.260 0.260 0.221
Th 0.073 0.073 0.780
Ru 0.669 0.669 0.994
S 0.498 0.498 0.506
CELL_PARAMETERS angstrom
-0.857 -1.498 -3.605
2.519 -2.563 -1.749
-2.982 -7.005 1.403
```

Summary:
* space group: No. 160
* ΔE_f (raw): -1044 meV/atom

---

[3]
DFT (PBE-GGA) results for crystalline HfAlAg at its relaxed geometry. Values from VASP.

Quantum ESPRESSO input file:
```
&SYSTEM
  ibrav = 0, nat = 6, ntyp = 3
/
ATOMIC_SPECIES
Hf 178.49 Hf.upf
Al 26.98 Al.upf
Ag 107.87 Ag.upf
ATOMIC_POSITIONS crystal
Hf 0.121 0.143 0.094
Hf 0.781 0.473 0.754
Al 0.451 0.808 0.924
Al 0.451 0.808 0.424
Ag 0.123 0.144 0.582
Ag 0.778 0.471 0.266
CELL_PARAMETERS angstrom
-4.273 -0.810 -2.157
3.383 0.234 -2.577
1.568 -5.695 1.553
```

Summary:
* formation enthalpy at 0 K: -0.1492 eV/atom
* space group: No. 2

---

[4]
DFT (PBE-GGA) results for crystalline Hf3TlF at its relaxed geometry. Values from VASP.

Quantum ESPRESSO input file:
```
&SYSTEM
  ibrav = 0, nat = 5, ntyp = 3
/
ATOMIC_SPECIES
Hf 178.49 Hf.upf
Tl 204.38 Tl.upf
F 19.00 F.upf
ATOMIC_POSITIONS crystal
Hf 0.000 0.000 0.500
Hf 0.500 0.000 0.000
Hf 0.000 0.500 0.000
Tl 0.000 0.000 0.000
F 0.500 0.500 0.500
CELL_PARAMETERS angstrom
5.360 0.000 0.000
0.000 5.360 0.000
0.000 0.000 5.360
```

Summary:
* space group: No. 221
* ΔE_f (raw): 1398 meV/atom

---

[5]
DFT (PBE-GGA) results for crystalline Ge2HN at its relaxed geometry. Values from VASP.

Quantum ESPRESSO input file:
```
&SYSTEM
  ibrav = 0, nat = 8, ntyp = 3
/
ATOMIC_SPECIES
N 14.01 N.upf
Ge 72.64 Ge.upf
H 1.01 H.upf
ATOMIC_POSITIONS crystal
N 0.000 0.000 0.000
N 0.750 0.250 0.500
Ge 0.130 0.625 0.250
Ge 0.375 0.380 0.750
Ge 0.620 0.125 0.250
Ge 0.875 0.870 0.750
H 0.500 0.500 0.000
H 0.250 0.750 0.500
CELL_PARAMETERS angstrom
-1.212 4.680 0.741
0.041 -0.755 4.832
3.634 3.035 2.918
```

Summary:
* VASP energy: -37.66 eV/cell
* space group: No. 122

---

[6]
DFT (PBE-GGA) results for crystalline Sm2Sc4Ge3O2 at its relaxed geometry. Values from VASP.

Quantum ESPRESSO input file:
```
&SYSTEM
  ibrav = 0, nat = 11, ntyp = 4
/
ATOMIC_SPECIES
Ge 72.64 Ge.upf
Sc 44.96 Sc.upf
O 16.00 O.upf
Sm 150.36 Sm.upf
ATOMIC_POSITIONS crystal
Ge 0.831 0.831 0.661
Ge 0.000 0.000 0.000
Ge 0.169 0.169 0.339
Sc 0.578 0.078 0.156
Sc 0.922 0.422 0.844
Sc 0.078 0.578 0.156
Sc 0.422 0.922 0.844
O 0.412 0.412 0.825
O 0.588 0.588 0.175
Sm 0.305 0.305 0.610
Sm 0.695 0.695 0.390
CELL_PARAMETERS angstrom
-2.264 -0.390 3.630
2.676 -3.083 1.338
6.534 9.787 2.584
```

Summary:
* space group: No. 139
* ΔE_f (raw): -1659 meV/atom

---

[7]
DFT (PBE-GGA) results for crystalline ThPaSe4 at its relaxed geometry. Values from VASP.

Quantum ESPRESSO input file:
```
&SYSTEM
  ibrav = 0, nat = 12, ntyp = 3
/
ATOMIC_SPECIES
Th 232.04 Th.upf
Se 78.96 Se.upf
Pa 231.04 Pa.upf
ATOMIC_POSITIONS crystal
Th 0.187 0.750 0.436
Th 0.813 0.250 0.564
Se 0.740 0.999 0.243
Se 0.823 0.250 0.902
Se 0.177 0.750 0.098
Se 0.740 0.501 0.243
Se 0.260 0.001 0.757
Se 0.692 0.750 0.612
Se 0.308 0.250 0.388
Se 0.260 0.499 0.757
Pa 0.682 0.750 0.940
Pa 0.318 0.250 0.060
CELL_PARAMETERS angstrom
0.558 1.592 -6.351
-1.228 -5.709 -1.539
-7.824 0.676 3.739
```

Summary:
* space group: No. 11
* ΔE_f (raw): -1461 meV/atom

---

[8]
DFT (PBE-GGA) results for crystalline LaScCo2 at its relaxed geometry. Values from VASP.

Quantum ESPRESSO input file:
```
&SYSTEM
  ibrav = 0, nat = 4, ntyp = 3
/
ATOMIC_SPECIES
La 138.91 La.upf
Sc 44.96 Sc.upf
Co 58.93 Co.upf
ATOMIC_POSITIONS crystal
La 0.533 0.533 0.533
Sc 0.705 0.705 0.705
Co 0.298 0.298 0.298
Co 0.964 0.964 0.964
CELL_PARAMETERS angstrom
7.038 0.002 0.001
5.944 3.770 0.001
5.944 1.727 3.351
```

Summary:
* formation enthalpy at 0 K: -0.1261 eV/atom
* space group: No. 160

---

Number 1: volume 26.6 Å³ per atom, calculated density 6.2 Mg/m³. Number 2: volume 25.6 Å³ per atom, calculated density 9.7 Mg/m³. Number 3: volume 18.5 Å³ per atom, calculated density 9.4 Mg/m³. Number 4: volume 30.8 Å³ per atom, calculated density 8.2 Mg/m³. Number 5: volume 13.0 Å³ per atom, calculated density 5.1 Mg/m³. Number 6: volume 19.6 Å³ per atom, calculated density 5.6 Mg/m³. Number 7: volume 25.3 Å³ per atom, calculated density 8.5 Mg/m³. Number 8: volume 22.2 Å³ per atom, calculated density 5.6 Mg/m³.